Compound: ReRu2W2
Source: the Alexandria database
Functional: PBE-GGA
Structure: optimized geometry

Cell and atoms, written as POSCAR:
```
ReRu2W2
1.0
7.3913 0.0000 0.0000
0.0000 7.3913 0.0000
0.0000 0.0000 2.8428
Re Ru W
2 4 4
direct
0.0000 0.0000 0.0000 Re
0.5000 0.5000 0.0000 Re
0.1294 0.3706 0.0000 Ru
0.3706 0.8706 0.0000 Ru
0.6294 0.1294 0.0000 Ru
0.8706 0.6294 0.0000 Ru
0.1692 0.6692 0.5000 W
0.3308 0.1692 0.5000 W
0.6692 0.8308 0.5000 W
0.8308 0.3308 0.5000 W
```

Values from the calculation:
- Crystal system: tetragonal
- Calculated formation energy: 0.309 eV/atom
- Spin magnetization: 0.000 μB per formula unit
- Relative energy among the computed polymorphs: 0.0000 eV per atom
- DOS at the Fermi energy: 0.887 states/eV per atom